# Tb4Mg3Zn PBE optimized geometry
# formation energy = -0.14 eV per atom
# M_tot = 0.0 Bohr magnetons per cell
# VASP energy = -3.22 eV per atom
data_Tb4Mg3Zn
_chemical_formula_sum 'Tb4 Mg3 Zn1'
_cell_length_a 3.696
_cell_length_b 3.696
_cell_length_c 15.398
_cell_angle_alpha 90.00
_cell_angle_beta 90.00
_cell_angle_gamma 90.00
_space_group_name_H-M_alt 'P 4/m m m'
_space_group_IT_number 123
_space_group_name_Hall '-P 4 2'
loop_
_atom_site_label
_atom_site_fract_x
_atom_site_fract_y
_atom_site_fract_z
_atom_site_occupancy
Tb1 0.000 0.000 0.111 1
Tb2 0.000 0.000 0.371 1
Mg1 0.500 0.500 0.243 1
Mg2 0.500 0.500 0.500 1
Zn1 0.500 0.500 0.000 1

***

# TbMg8Zn4 PBE optimized geometry
# formation energy = -0.13 eV per atom
# M_tot = 0.0 Bohr magnetons per cell
# VASP energy = -1.86 eV per atom
data_TbMg8Zn4
_chemical_formula_sum 'Tb2 Mg16 Zn8'
_cell_length_a 9.684
_cell_length_b 9.684
_cell_length_c 5.596
_cell_angle_alpha 90.00
_cell_angle_beta 90.00
_cell_angle_gamma 90.00
_space_group_name_H-M_alt 'I 4/m m m'
_space_group_IT_number 139
_space_group_name_Hall '-I 4 2'
loop_
_atom_site_label
_atom_site_fract_x
_atom_site_fract_y
_atom_site_fract_z
_atom_site_occupancy
Tb1 0.000 0.000 0.000 1
Mg1 0.000 0.214 0.500 1
Mg2 0.000 0.345 0.000 1
Zn1 0.250 0.250 0.250 1

***

# Tb2MgZn PBE optimized geometry
# formation energy = -0.18 eV per atom
# M_tot = 0.0 Bohr magnetons per cell
# E above lowest polymorph = 32 meV/atom
# VASP energy = -3.21 eV per atom
data_Tb2MgZn
_chemical_formula_sum 'Tb8 Mg4 Zn4'
_cell_length_a 7.366
_cell_length_b 7.366
_cell_length_c 7.366
_cell_angle_alpha 90.00
_cell_angle_beta 90.00
_cell_angle_gamma 90.00
_space_group_name_H-M_alt 'F m -3 m'
_space_group_IT_number 225
_space_group_name_Hall '-F 4 2 3'
loop_
_atom_site_label
_atom_site_fract_x
_atom_site_fract_y
_atom_site_fract_z
_atom_site_occupancy
Tb1 0.250 0.250 0.250 1
Mg1 0.000 0.000 0.000 1
Zn1 0.000 0.000 0.500 1